First-principles (PBE+U) data for a relaxed TlFeF3 crystal, as listed in Alexandria.

Values from the calculation:
Fermi-level density of states, states/eV/f.u.: 0.000
Total magnetic moment, μB per formula unit: 4.0
Uncorrected energy, eV per atom: -4.90

Geometry as POSCAR:
```
TlFeF3
1.0
1.671 -5.957 0.000
1.671 5.957 0.000
0.000 0.000 7.974
Tl Fe F
2 2 6
direct
0.245 0.755 0.750 Tl
0.755 0.245 0.250 Tl
0.500 0.500 0.000 Fe
0.500 0.500 0.500 Fe
0.113 0.887 0.033 F
0.113 0.887 0.467 F
0.456 0.544 0.250 F
0.544 0.456 0.750 F
0.887 0.113 0.533 F
0.887 0.113 0.967 F
```